The following is a PBE-GGA calculation of a relaxed ZrAsP2 crystal, from Alexandria.

Its energy of formation is -242 meV/atom. Its spin magnetization is 0.00 μB/f.u. Its calculated volume is 17.85 Å³/atom.

abc: 3.635 3.773 5.206
angles: 90.00 90.00 90.00
Element x y z (fractional)
Zr  0.000  0.000  0.000
As  0.000  0.500  0.500
P  0.500  0.000  0.500
P  0.500  0.500  0.000


The following is a PBE-GGA calculation of a relaxed ZrAsP2 crystal, from Alexandria.

Its energy of formation is -431 meV/atom. Its spin magnetization is 0.00 μB/f.u. Its calculated volume is 18.97 Å³/atom.

abc: 3.750 3.750 5.396
angles: 90.00 90.00 90.00
Element x y z (fractional)
Zr  0.000  0.000  0.000
As  0.500  0.500  0.413
P  0.000  0.000  0.493
P  0.500  0.500  0.970


The following is a PBE-GGA calculation of a relaxed ZrAsP2 crystal, from Alexandria.

Its energy of formation is -340 meV/atom. Its spin magnetization is 0.00 μB/f.u. Its calculated volume is 17.81 Å³/atom.

abc: 3.462 3.462 5.943
angles: 90.00 90.00 90.00
Element x y z (fractional)
Zr  0.000  0.000  0.000
As  0.000  0.000  0.500
P  0.500  0.500  0.204
P  0.500  0.500  0.796


The following is a PBE-GGA calculation of a relaxed ZrAsP2 crystal, from Alexandria.

Its energy of formation is -261 meV/atom. Its spin magnetization is 0.00 μB/f.u. Its calculated volume is 17.03 Å³/atom.

abc: 4.507 4.507 3.427
angles: 90.00 90.00 101.90
Element x y z (fractional)
Zr  0.000  0.000  0.000
As  0.500  0.500  0.000
P  0.000  0.500  0.500
P  0.500  0.000  0.500


Repeat the second record exactly.
The following is a PBE-GGA calculation of a relaxed ZrAsP2 crystal, from Alexandria.

Its energy of formation is -431 meV/atom. Its spin magnetization is 0.00 μB/f.u. Its calculated volume is 18.97 Å³/atom.

abc: 3.750 3.750 5.396
angles: 90.00 90.00 90.00
Element x y z (fractional)
Zr  0.000  0.000  0.000
As  0.500  0.500  0.413
P  0.000  0.000  0.493
P  0.500  0.500  0.970